Below is a relaxed PuCdAg2 crystal, with properties calculated at the PBE level.

a b c (Å): 9.7399 2.9343 6.2170
angles (deg): 90.00 96.53 90.00
Closest atoms and distances in Å follow each position.
Space group C2/m (No. 12)
Symmetry-distinct sites (fractional):
Pu1 0.0000 0.0000 0.0000 (multiplicity 2)  2 Pu 2.93, 6 Ag 3.13-3.23
Cd1 0.0000 0.5000 0.5000 (multiplicity 2)  2 Cd 2.93, 6 Ag 2.95-2.99
Ag1 0.2456 0.0000 0.7150 (multiplicity 4)  4 Ag 2.93-3.06, 3 Cd 2.95-2.99, 3 Pu 3.13-3.23

Output
M_tot ... 12.15 μB/cell
Calculated formation energy ... 0.06 eV per atom
Calculated volume ... 22.1 Å³/atom